No. 1
This record from Alexandria describes a relaxed RhCl crystal. The functional is PBE.

Total DFT energy (no corrections): -4.563 eV per atom
Density of states at the Fermi level: 5.55 states/eV per cell
ΔE_f (raw): 0.0365 eV/atom

a = 8.0122 Å, b = 8.0122 Å, c = 3.9625 Å
α = 90.00°, β = 90.00°, γ = 120.00°
Space group P6_3/m (No. 176)
Unique sites:
Rh 0.1074 0.4866 0.2500
Cl 0.1805 0.8121 0.7500



No. 2
This record from Alexandria describes a relaxed Rh2Cl crystal. The functional is PBE.

Total DFT energy (no corrections): -5.200 eV per atom
Density of states at the Fermi level: 14.37 states/eV per cell
ΔE_f (raw): 0.3162 eV/atom
Relative energy among the computed polymorphs: 95 meV/atom

a = 11.955 Å, b = 2.838 Å, c = 7.099 Å
α = 90.00°, β = 123.46°, γ = 90.00°
Space group Cm (No. 8)
Unique sites:
Rh 0.000 0.000 0.000
Rh 0.085 0.500 0.787
Rh 0.252 0.000 0.179
Rh 0.350 0.500 0.552
Cl 0.213 0.000 0.667
Cl 0.461 0.000 0.229



| no. | calculated volume (Å³ per atom) | M_tot (Bohr magnetons per cell) |
| --- | --- | --- |
| 1 | 18.4 | 0.0 |
| 2 | 16.7 | 0.0 |